No. 1
The following is a PBE calculation of an optimized crystal structure of P3Br, from Alexandria.

Properties
E above lowest polymorph ... 7.05 eV per formula unit
DOS at the Fermi energy ... 5.0 states/eV/f.u.
E_form (uncorrected) ... 2.01 eV/atom
Electronic total energy ... -0.0907 Ha/atom

Lattice parameters (Å, degrees): 4.958 4.958 4.958 90.00 90.00 90.00
Atoms (fractional coordinates):
1 P 0.000 0.000 0.500
2 P 0.000 0.500 0.000
3 P 0.500 0.000 0.000
4 Br 0.000 0.000 0.000

=====

No. 2
The following is a PBE calculation of an optimized crystal structure of PBr5, from Alexandria.

Properties
E above lowest polymorph ... 0.00 eV per formula unit
E_form (uncorrected) ... -0.31 eV/atom
Electronic total energy ... -0.0957 Ha/atom

Lattice parameters (Å, degrees): 6.104 18.218 8.595 90.00 90.00 90.00
Atoms (fractional coordinates):
1 P 0.046 0.136 0.250
2 P 0.046 0.364 0.750
3 P 0.954 0.636 0.250
4 P 0.954 0.864 0.750
5 Br 0.162 0.636 0.038
6 Br 0.162 0.636 0.462
7 Br 0.162 0.864 0.538
8 Br 0.162 0.864 0.962
9 Br 0.245 0.034 0.250
10 Br 0.245 0.466 0.750
11 Br 0.263 0.233 0.250
12 Br 0.263 0.267 0.750
13 Br 0.450 0.627 0.750
14 Br 0.450 0.873 0.250
15 Br 0.550 0.127 0.750
16 Br 0.550 0.373 0.250
17 Br 0.737 0.733 0.250
18 Br 0.737 0.767 0.750
19 Br 0.755 0.534 0.250
20 Br 0.755 0.966 0.750
21 Br 0.838 0.136 0.038
22 Br 0.838 0.136 0.462
23 Br 0.838 0.364 0.538
24 Br 0.838 0.364 0.962

=====

No. 3
The following is a PBE calculation of an optimized crystal structure of P3Br, from Alexandria.

Properties
E above lowest polymorph ... 1.79 eV per formula unit
DOS at the Fermi energy ... 3.0 states/eV/f.u.
E_form (uncorrected) ... 0.69 eV/atom
Electronic total energy ... -0.1390 Ha/atom

Lattice parameters (Å, degrees): 5.291 5.291 5.291 90.00 90.00 90.00
Atoms (fractional coordinates):
1 P 0.000 0.000 0.500
2 P 0.000 0.500 0.000
3 P 0.000 0.500 0.500
4 P 0.500 0.000 0.000
5 P 0.500 0.000 0.500
6 P 0.500 0.500 0.000
7 Br 0.000 0.000 0.000
8 Br 0.500 0.500 0.500

=====

No. 4
The following is a PBE calculation of an optimized crystal structure of P3Br, from Alexandria.

Properties
E above lowest polymorph ... 0.13 eV per formula unit
DOS at the Fermi energy ... 0.8 states/eV/f.u.
E_form (uncorrected) ... 0.28 eV/atom
Electronic total energy ... -0.1543 Ha/atom

Lattice parameters (Å, degrees): 9.004 19.223 2.935 90.00 90.00 90.00
Atoms (fractional coordinates):
1 P 0.000 0.111 0.250
2 P 0.000 0.889 0.750
3 P 0.120 0.185 0.750
4 P 0.120 0.815 0.250
5 P 0.380 0.315 0.250
6 P 0.380 0.685 0.750
7 P 0.500 0.389 0.750
8 P 0.500 0.611 0.250
9 P 0.620 0.315 0.250
10 P 0.620 0.685 0.750
11 P 0.880 0.185 0.750
12 P 0.880 0.815 0.250
13 Br 0.000 0.359 0.250
14 Br 0.000 0.641 0.750
15 Br 0.500 0.141 0.750
16 Br 0.500 0.859 0.250

=====

No. 5
The following is a PBE calculation of an optimized crystal structure of P3Br, from Alexandria.

Properties
E above lowest polymorph ... 2.95 eV per formula unit
DOS at the Fermi energy ... 2.9 states/eV/f.u.
E_form (uncorrected) ... 0.98 eV/atom
Electronic total energy ... -0.1284 Ha/atom

Lattice parameters (Å, degrees): 6.501 6.501 6.501 90.00 90.00 90.00
Atoms (fractional coordinates):
1 P 0.000 0.000 0.000
2 P 0.000 0.500 0.500
3 P 0.250 0.250 0.250
4 P 0.250 0.250 0.750
5 P 0.250 0.750 0.250
6 P 0.250 0.750 0.750
7 P 0.500 0.000 0.500
8 P 0.500 0.500 0.000
9 P 0.750 0.250 0.250
10 P 0.750 0.250 0.750
11 P 0.750 0.750 0.250
12 P 0.750 0.750 0.750
13 Br 0.000 0.000 0.500
14 Br 0.000 0.500 0.000
15 Br 0.500 0.000 0.000
16 Br 0.500 0.500 0.500

=====

No. 6
The following is a PBE calculation of an optimized crystal structure of P2Br3, from Alexandria.

Properties
DOS at the Fermi energy ... 2.6 states/eV/f.u.
E_form (uncorrected) ... 0.13 eV/atom
Electronic total energy ... -0.1118 Ha/atom

Lattice parameters (Å, degrees): 12.478 5.212 12.897 73.67 23.63 82.70
Atoms (fractional coordinates):
1 P 0.067 0.933 0.139
2 P 0.111 0.389 0.183
3 P 0.389 0.111 0.317
4 P 0.933 0.067 0.861
5 Br 0.106 0.106 0.894
6 Br 0.171 0.693 0.484
7 Br 0.356 0.356 0.144
8 Br 0.597 0.766 0.557
9 Br 0.693 0.171 0.653
10 Br 0.766 0.597 0.079

=====

No. 7
The following is a PBE calculation of an optimized crystal structure of P3Br, from Alexandria.

Properties
E above lowest polymorph ... 0.18 eV per formula unit
DOS at the Fermi energy ... 3.7 states/eV/f.u.
E_form (uncorrected) ... 0.29 eV/atom
Electronic total energy ... -0.1538 Ha/atom

Lattice parameters (Å, degrees): 6.799 6.799 4.623 90.00 90.00 120.00
Atoms (fractional coordinates):
1 P 0.111 0.223 0.250
2 P 0.111 0.889 0.250
3 P 0.223 0.111 0.750
4 P 0.777 0.889 0.250
5 P 0.889 0.111 0.750
6 P 0.889 0.777 0.750
7 Br 0.333 0.667 0.750
8 Br 0.667 0.333 0.250

=====

No. 8
The following is a PBE calculation of an optimized crystal structure of PBr3, from Alexandria.

Properties
DOS at the Fermi energy ... 0.0 states/eV/f.u.
E_form (uncorrected) ... -0.06 eV/atom
Electronic total energy ... -0.0979 Ha/atom

Lattice parameters (Å, degrees): 3.473 11.762 7.331 90.00 90.00 90.00
Atoms (fractional coordinates):
1 P 0.000 0.000 0.000
2 P 0.500 0.500 0.500
3 Br 0.000 0.355 0.634
4 Br 0.000 0.500 0.231
5 Br 0.000 0.645 0.634
6 Br 0.500 0.000 0.731
7 Br 0.500 0.145 0.134
8 Br 0.500 0.855 0.134